A relaxed structure of Ag5I4F. Source: the Alexandria database, functional PBE.

a = 4.587 Å, b = 4.587 Å, c = 18.324 Å
α = 82.81°, β = 82.81°, γ = 60.00°
Element x y z (fractional)
Ag  0.991  0.991  0.027
Ag  0.610  0.610  0.171
Ag  0.206  0.206  0.383
Ag  0.800  0.800  0.600
Ag  0.395  0.395  0.816
I  0.558  0.558  0.325
I  0.153  0.153  0.541
I  0.747  0.747  0.758
I  0.342  0.342  0.974
F  0.949  0.949  0.154

Values from the calculation:
**Space-group type**: R3m
**Energy**: -2.59 eV/atom
**Uncorrected formation energy**: -0.3576 eV/atom